# AsPbSe4, optimized geometry, DFT PBE-GGA
# **DOS at the Fermi energy**: 9.33 states/eV/cell
# **Raw formation energy**: 519 meV/atom
# **Spin magnetization**: 0.00 μB/cell
data_AsPbSe4
_chemical_formula_sum 'As4 Pb4 Se16'
_symmetry_space_group_name_H-M 'F -4 3 m'
_symmetry_Int_Tables_number 216
_symmetry_space_group_name_Hall 'F -4 2 3'
_cell_length_a 8.2032
_cell_length_b 8.2032
_cell_length_c 8.2032
_cell_angle_alpha 90.00
_cell_angle_beta 90.00
_cell_angle_gamma 90.00
loop_
_atom_site_label
_atom_site_type_symbol
_atom_site_fract_x
_atom_site_fract_y
_atom_site_fract_z
_atom_site_occupancy
As1 As 0.0000 0.0000 0.0000 1
Pb1 Pb 0.2500 0.2500 0.7500 1
Se1 Se 0.1257 0.1257 0.3743 1



# As2PbSe, optimized geometry, DFT PBE-GGA
# **Offset from the most stable computed form**: 381 meV per atom
# **DOS at the Fermi energy**: 4.29 states/eV/cell
# **Raw formation energy**: 218 meV/atom
# **Spin magnetization**: 0.00 μB/cell
data_As2PbSe
_chemical_formula_sum 'As4 Pb2 Se2'
_symmetry_space_group_name_H-M 'I m m m'
_symmetry_Int_Tables_number 71
_symmetry_space_group_name_Hall '-I 2 2'
_cell_length_a 3.6233
_cell_length_b 5.2698
_cell_length_c 9.6861
_cell_angle_alpha 90.00
_cell_angle_beta 90.00
_cell_angle_gamma 90.00
loop_
_atom_site_label
_atom_site_type_symbol
_atom_site_fract_x
_atom_site_fract_y
_atom_site_fract_z
_atom_site_occupancy
As1 As 0.0000 0.0000 0.2182 1
Pb1 Pb 0.0000 0.5000 0.0000 1
Se1 Se 0.0000 0.5000 0.5000 1



What is the formula in the first record?
AsPbSe4



Please write out number 2 again, unchanged.
# As2PbSe, optimized geometry, DFT PBE-GGA
# **Offset from the most stable computed form**: 381 meV per atom
# **DOS at the Fermi energy**: 4.29 states/eV/cell
# **Raw formation energy**: 218 meV/atom
# **Spin magnetization**: 0.00 μB/cell
data_As2PbSe
_chemical_formula_sum 'As4 Pb2 Se2'
_symmetry_space_group_name_H-M 'I m m m'
_symmetry_Int_Tables_number 71
_symmetry_space_group_name_Hall '-I 2 2'
_cell_length_a 3.6233
_cell_length_b 5.2698
_cell_length_c 9.6861
_cell_angle_alpha 90.00
_cell_angle_beta 90.00
_cell_angle_gamma 90.00
loop_
_atom_site_label
_atom_site_type_symbol
_atom_site_fract_x
_atom_site_fract_y
_atom_site_fract_z
_atom_site_occupancy
As1 As 0.0000 0.0000 0.2182 1
Pb1 Pb 0.0000 0.5000 0.0000 1
Se1 Se 0.0000 0.5000 0.5000 1



Which formula does entry 2 have?
As2PbSe



What is the raw formation energy in the first record?
519 meV/atom